DFT (GGA-PBE) results for an optimized crystal structure of NaSrScB2.

Properties
**Calculated formation energy**: 1.685 eV per atom

CIF file:
```
data_NaSrScB2
_space_group_name_H-M_alt 'P 4/m m m'
_space_group_IT_number 123
_space_group_name_Hall '-P 4 2'
_cell_length_a 4.6714
_cell_length_b 4.6714
_cell_length_c 4.6882
_cell_angle_alpha 90.00
_cell_angle_beta 90.00
_cell_angle_gamma 90.00
loop_
_atom_site_label
_atom_site_type_symbol
_atom_site_fract_x
_atom_site_fract_y
_atom_site_fract_z
Na1 Na 0.0000 0.0000 0.0000
Sr1 Sr 0.0000 0.0000 0.5000
Sc1 Sc 0.5000 0.5000 0.5000
B1 B 0.0000 0.5000 0.0000
```

=====

DFT (GGA-PBE) results for an optimized crystal structure of Ta2InPd9.

Properties
**Calculated formation energy**: -0.458 eV per atom

CIF file:
```
data_Ta2InPd9
_space_group_name_H-M_alt 'P 4/m m m'
_space_group_IT_number 123
_space_group_name_Hall '-P 4 2'
_cell_length_a 3.9864
_cell_length_b 3.9864
_cell_length_c 12.0153
_cell_angle_alpha 90.00
_cell_angle_beta 90.00
_cell_angle_gamma 90.00
loop_
_atom_site_label
_atom_site_type_symbol
_atom_site_fract_x
_atom_site_fract_y
_atom_site_fract_z
Ta1 Ta 0.0000 0.0000 0.1700
In1 In 0.0000 0.0000 0.5000
Pd1 Pd 0.0000 0.5000 0.0000
Pd2 Pd 0.0000 0.5000 0.3229
Pd3 Pd 0.5000 0.5000 0.1612
Pd4 Pd 0.5000 0.5000 0.5000
```

=====

DFT (GGA-PBE) results for an optimized crystal structure of SmEr2TeO8.

Properties
**Energy relative to the elements, uncorrected**: -2.5139 eV/atom

CIF file:
```
data_SmEr2TeO8
_space_group_name_H-M_alt 'C m m m'
_space_group_IT_number 65
_space_group_name_Hall '-C 2 2'
_cell_length_a 7.0251
_cell_length_b 7.1061
_cell_length_c 6.9532
_cell_angle_alpha 90.00
_cell_angle_beta 90.00
_cell_angle_gamma 90.00
loop_
_atom_site_label
_atom_site_type_symbol
_atom_site_fract_x
_atom_site_fract_y
_atom_site_fract_z
Sm1 Sm 0.0000 0.0000 0.0000
Er1 Er 0.0000 0.5000 0.2582
Te1 Te 0.0000 0.0000 0.5000
O1 O 0.0000 0.1848 0.2916
O2 O 0.1815 0.5000 0.0000
O3 O 0.2216 0.5000 0.5000
```

=====

DFT (GGA-PBE) results for an optimized crystal structure of HoPuIn4.

Properties
**Calculated formation energy**: -0.192 eV per atom
**Distance to the lowest polymorph of the same formula**: 83 meV per atom

CIF file:
```
data_HoPuIn4
_space_group_name_H-M_alt 'F -4 3 m'
_space_group_IT_number 216
_space_group_name_Hall 'F -4 2 3'
_cell_length_a 8.5128
_cell_length_b 8.5128
_cell_length_c 8.5128
_cell_angle_alpha 90.00
_cell_angle_beta 90.00
_cell_angle_gamma 90.00
loop_
_atom_site_label
_atom_site_type_symbol
_atom_site_fract_x
_atom_site_fract_y
_atom_site_fract_z
Ho1 Ho 0.0000 0.0000 0.0000
Pu1 Pu 0.2500 0.2500 0.7500
In1 In 0.1250 0.1250 0.3750
```

=====

no.,total magnetic moment (μB/atom)
1,0.035
2,0.000
3,0.067
4,1.093